{"formula": "NaEuMo2O8", "functional": "PBE+U", "state": "relaxed", "lattice_angstrom": [[-2.677, 2.677, 5.798], [2.677, -2.677, 5.798], [2.677, 2.677, -5.798]], "species": ["Na", "Eu", "Mo", "Mo", "O", "O", "O", "O", "O", "O", "O", "O"], "fractional_positions": [[0.000, 0.000, 0.000], [0.250, 0.750, 0.500], [0.500, 0.500, 0.000], [0.750, 0.250, 0.500], [0.270, 0.652, 0.097], [0.348, 0.445, 0.618], [0.427, 0.012, 0.105], [0.555, 0.172, 0.903], [0.678, 0.573, 0.586], [0.828, 0.730, 0.382], [0.907, 0.322, 0.895], [0.988, 0.093, 0.414]], "crystal_system": "tetragonal", "e_tot_ev_per_cell": -88.97, "magmom_total_mub_per_cell": 5.944}